# 1
{
  "formula": "MgCuSnAu",
  "functional": "PBE",
  "state": "relaxed",
  "e_form_ev_per_atom": -0.149,
  "crystal_system": "cubic",
  "mass_density_g_cm3": 9.0,
  "space_group": "F-43m (216)",
  "lattice_angstrom": [[6.666, 0.000, 0.000], [0.000, 6.666, 0.000], [0.000, 0.000, 6.666]],
  "species": ["Mg", "Mg", "Mg", "Mg", "Cu", "Cu", "Cu", "Cu", "Sn", "Sn", "Sn", "Sn", "Au", "Au", "Au", "Au"],
  "fractional_positions": [[0.000, 0.000, 0.000], [0.000, 0.500, 0.500], [0.500, 0.000, 0.500], [0.500, 0.500, 0.000], [0.250, 0.250, 0.750], [0.250, 0.750, 0.250], [0.750, 0.250, 0.250], [0.750, 0.750, 0.750], [0.000, 0.000, 0.500], [0.000, 0.500, 0.000], [0.500, 0.000, 0.000], [0.500, 0.500, 0.500], [0.250, 0.250, 0.250], [0.250, 0.750, 0.750], [0.750, 0.250, 0.750], [0.750, 0.750, 0.250]]
}

***

# 2
{
  "formula": "YSc2Cu9",
  "functional": "PBE",
  "state": "relaxed",
  "e_form_ev_per_atom": -0.214,
  "crystal_system": "trigonal",
  "mass_density_g_cm3": 6.9,
  "space_group": "R-3m (166)",
  "lattice_angstrom": [[2.538, 1.465, 8.114], [-2.538, 1.465, 8.114], [0.000, -2.931, 8.114]],
  "species": ["Y", "Sc", "Sc", "Cu", "Cu", "Cu", "Cu", "Cu", "Cu", "Cu", "Cu", "Cu"],
  "fractional_positions": [[0.000, 0.000, 0.000], [0.144, 0.144, 0.144], [0.856, 0.856, 0.856], [0.082, 0.586, 0.586], [0.333, 0.333, 0.333], [0.414, 0.414, 0.918], [0.414, 0.918, 0.414], [0.500, 0.500, 0.500], [0.586, 0.082, 0.586], [0.586, 0.586, 0.082], [0.667, 0.667, 0.667], [0.918, 0.414, 0.414]]
}

***

# 3
{
  "formula": "ScTl2Cd",
  "functional": "PBE",
  "state": "relaxed",
  "e_form_ev_per_atom": -0.026,
  "crystal_system": "monoclinic",
  "e_above_lowest_polymorph_mev_per_atom": 111,
  "mass_density_g_cm3": 9.2,
  "space_group": "C2/m (12)",
  "lattice_angstrom": [[6.572, 0.000, 0.000], [0.000, 10.478, 0.000], [-1.545, 0.000, 2.959]],
  "species": ["Sc", "Sc", "Tl", "Tl", "Tl", "Tl", "Cd", "Cd"],
  "fractional_positions": [[0.000, 0.000, 0.000], [0.500, 0.500, 0.000], [0.250, 0.250, 0.500], [0.250, 0.750, 0.500], [0.750, 0.250, 0.500], [0.750, 0.750, 0.500], [0.000, 0.500, 0.000], [0.500, 0.000, 0.000]]
}

***

# 4
{
  "formula": "CaGa9Rh2",
  "functional": "PBE",
  "state": "relaxed",
  "e_form_ev_per_atom": -0.393,
  "crystal_system": "hexagonal",
  "e_above_lowest_polymorph_mev_per_atom": 0,
  "mass_density_g_cm3": 6.5,
  "space_group": "P6/mmm (191)",
  "lattice_angstrom": [[8.219, 0.000, 0.000], [-4.109, 7.118, 0.000], [0.000, 0.000, 3.805]],
  "species": ["Ca", "Ga", "Ga", "Ga", "Ga", "Ga", "Ga", "Ga", "Ga", "Ga", "Rh", "Rh"],
  "fractional_positions": [[0.000, 0.000, 0.000], [0.000, 0.500, 0.000], [0.199, 0.397, 0.500], [0.199, 0.801, 0.500], [0.397, 0.199, 0.500], [0.500, 0.000, 0.000], [0.500, 0.500, 0.000], [0.603, 0.801, 0.500], [0.801, 0.199, 0.500], [0.801, 0.603, 0.500], [0.333, 0.667, 0.000], [0.667, 0.333, 0.000]]
}

***

# 5
{
  "formula": "Pr4PbN2",
  "functional": "PBE",
  "state": "relaxed",
  "formation_energy_uncorrected_ev_per_atom": -0.870,
  "crystal_system": "trigonal",
  "mass_density_g_cm3": 7.6,
  "space_group": "R-3m (166)",
  "lattice_angstrom": [[1.848, 1.067, 14.811], [-1.848, 1.067, 14.811], [0.000, -2.134, 14.811]],
  "species": ["Pr", "Pr", "Pr", "Pr", "Pb", "N", "N"],
  "fractional_positions": [[0.125, 0.125, 0.125], [0.271, 0.271, 0.271], [0.729, 0.729, 0.729], [0.875, 0.875, 0.875], [0.000, 0.000, 0.000], [0.427, 0.427, 0.427], [0.573, 0.573, 0.573]]
}

***

# 6
{
  "formula": "Hf9AlIn2",
  "functional": "PBE",
  "state": "relaxed",
  "e_form_ev_per_atom": -0.170,
  "crystal_system": "tetragonal",
  "mass_density_g_cm3": 12.1,
  "space_group": "P4/mmm (123)",
  "lattice_angstrom": [[4.397, 0.000, 0.000], [0.000, 4.397, 0.000], [0.000, 0.000, 13.186]],
  "species": ["Hf", "Hf", "Hf", "Hf", "Hf", "Hf", "Hf", "Hf", "Hf", "Al", "In", "In"],
  "fractional_positions": [[0.000, 0.000, 0.000], [0.000, 0.000, 0.331], [0.000, 0.000, 0.669], [0.000, 0.500, 0.161], [0.000, 0.500, 0.500], [0.000, 0.500, 0.839], [0.500, 0.000, 0.161], [0.500, 0.000, 0.500], [0.500, 0.000, 0.839], [0.500, 0.500, 0.000], [0.500, 0.500, 0.331], [0.500, 0.500, 0.669]]
}

***

# 7
{
  "formula": "Sc2Ge2Te",
  "functional": "PBE",
  "state": "relaxed",
  "formation_energy_uncorrected_ev_per_atom": -0.530,
  "crystal_system": "tetragonal",
  "e_above_lowest_polymorph_mev_per_atom": 210,
  "mass_density_g_cm3": 5.6,
  "space_group": "P4/mbm (127)",
  "lattice_angstrom": [[7.618, 0.000, 0.000], [0.000, 7.618, 0.000], [0.000, 0.000, 3.704]],
  "species": ["Sc", "Sc", "Sc", "Sc", "Ge", "Ge", "Ge", "Ge", "Te", "Te"],
  "fractional_positions": [[0.188, 0.312, 0.000], [0.312, 0.812, 0.000], [0.688, 0.188, 0.000], [0.812, 0.688, 0.000], [0.113, 0.613, 0.500], [0.387, 0.113, 0.500], [0.613, 0.887, 0.500], [0.887, 0.387, 0.500], [0.000, 0.000, 0.500], [0.500, 0.500, 0.500]]
}

***

# 8
{
  "formula": "Cr2Fe",
  "functional": "PBE",
  "state": "relaxed",
  "e_form_ev_per_atom": 0.233,
  "crystal_system": "monoclinic",
  "mass_density_g_cm3": 7.8,
  "space_group": "Cm (8)",
  "lattice_angstrom": [[9.551, 0.000, 0.000], [0.000, 2.375, 0.000], [-1.503, 0.000, 6.034]],
  "species": ["Cr", "Cr", "Cr", "Cr", "Cr", "Cr", "Cr", "Cr", "Fe", "Fe", "Fe", "Fe"],
  "fractional_positions": [[0.000, 0.000, 0.000], [0.069, 0.000, 0.630], [0.175, 0.500, 0.324], [0.334, 0.000, 0.664], [0.500, 0.500, 0.000], [0.569, 0.500, 0.630], [0.675, 0.000, 0.324], [0.834, 0.500, 0.664], [0.236, 0.500, 0.965], [0.405, 0.000, 0.295], [0.736, 0.000, 0.965], [0.905, 0.500, 0.295]]
}

***

Number 1: calculated total energy -3.3914 eV/atom. Number 2: calculated total energy -4.8801 eV/atom. Number 3: calculated total energy -3.0205 eV/atom. Number 4: calculated total energy -4.0547 eV/atom. Number 5: calculated total energy -6.5101 eV/atom. Number 6: calculated total energy -8.4037 eV/atom. Number 7: calculated total energy -5.5380 eV/atom. Number 8: calculated total energy -9.0037 eV/atom.